## Re2BPd (PBE)

Data for a geometry-optimized Re2BPd structure.

The formation energy comes out at 0.935 eV per atom. The magnetic moment comes out at 0.0 μB/cell.

The structure belongs to space group I-42d (No. 122); the cell edges are 3.731, 3.731 and 17.095 Å and the angles 90.00°, 90.00° and 90.00°. The distinct sites, in fractional coordinates, are Re at (0.198, 0.250, 0.125), B at (0.000, 0.000, 0.000) and Pd at (0.000, 0.000, 0.500).